# 1
! Cs2KSrBr5 PBE optimized geometry; values from VASP
&SYSTEM
  ibrav = 0, nat = 9, ntyp = 4
/
ATOMIC_SPECIES
Br 79.90 Br.upf
Cs 132.91 Cs.upf
Sr 87.62 Sr.upf
K 39.10 K.upf
CELL_PARAMETERS angstrom
-0.895 3.639 -4.484
-6.850 -4.202 -2.042
-0.897 5.526 8.470
ATOMIC_POSITIONS crystal
Br 0.625 0.380 0.250
Br 0.625 0.870 0.250
Br 0.375 0.130 0.750
Br 0.375 0.620 0.750
Cs 0.206 0.206 0.413
Sr 0.500 0.000 0.000
Br 0.000 0.000 0.000
K 0.000 0.500 0.000
Cs 0.794 0.794 0.587
! - formation energy without anion corrections (eV per atom) = -1.832
! - SG = Immm, No. 71



# 2
! V2CdIr2 PBE optimized geometry; values from VASP
&SYSTEM
  ibrav = 0, nat = 5, ntyp = 3
/
ATOMIC_SPECIES
Cd 112.41 Cd.upf
Ir 192.22 Ir.upf
V 50.94 V.upf
CELL_PARAMETERS angstrom
-3.523 -1.300 1.718
1.762 0.157 3.732
-2.418 4.282 3.247
ATOMIC_POSITIONS crystal
Cd 0.000 0.000 0.000
Ir 0.624 0.624 0.753
V 0.750 0.250 0.500
V 0.250 0.750 0.500
Ir 0.376 0.376 0.247
! - ΔH_f (0 K) (kJ/mol of atoms) = -16
! - SG = I4/mmm, No. 139
! - distance to the lowest polymorph of the same formula (meV/atom) = 126



# 3
! CeNbV2 PBE optimized geometry; values from VASP
&SYSTEM
  ibrav = 0, nat = 4, ntyp = 3
/
ATOMIC_SPECIES
V 50.94 V.upf
Ce 140.12 Ce.upf
Nb 92.91 Nb.upf
CELL_PARAMETERS angstrom
3.234 0.000 0.000
0.000 3.234 0.000
0.000 0.000 6.919
ATOMIC_POSITIONS crystal
V 0.000 0.000 0.213
Ce 0.500 0.500 0.500
V 0.000 0.000 0.787
Nb 0.500 0.500 0.000
! - ΔH_f (0 K) (kJ/mol of atoms) = 26
! - SG = P4/mmm, No. 123
! - distance to the lowest polymorph of the same formula (meV/atom) = 0



Question: Which formula does entry 2 have?
Answer: V2CdIr2